Model 1:
Below is an optimized crystal structure of Y2ClO, with properties calculated at the PBE-GGA level.

Properties
Total magnetic moment: 0.00 μB per cell

Lattice parameters (Å, degrees): 4.578 4.578 4.578 60.00 60.00 60.00
Fractional positions:
Y: 0.250 0.250 0.250
Y: 0.750 0.750 0.750
O: 0.000 0.000 0.000
Cl: 0.500 0.500 0.500



Model 2:
Below is an optimized crystal structure of Y2ClO, with properties calculated at the PBE-GGA level.

Properties
Total magnetic moment: 1.99 μB per cell

Lattice parameters (Å, degrees): 5.851 5.851 6.968 65.18 65.18 90.00
Each line ends with the local moment (μB).
Fractional positions:
Y: 0.553 0.125 0.250  0.19
Y: 0.197 0.625 0.250  0.19
Y: 0.375 0.447 0.750  0.17
Y: 0.875 0.803 0.750  0.17
O: 0.500 0.500 0.000  0.02
O: 0.250 0.750 0.500  0.02
Cl: 0.000 0.000 0.000  0.05
Cl: 0.750 0.250 0.500  0.05



Model 3:
Below is an optimized crystal structure of Y2ClO, with properties calculated at the PBE-GGA level.

Properties
Total magnetic moment: 0.00 μB per cell

Lattice parameters (Å, degrees): 3.525 3.525 7.279 75.99 75.99 60.00
Fractional positions:
Y: 0.271 0.271 0.187
Y: 0.729 0.729 0.813
O: 0.000 0.000 0.000
Cl: 0.500 0.500 0.500



Q: What are the energies relative to the best structure? A: model 1 624; model 2 36; model 3 0, in meV per atom.



Model 1:
Below is an optimized crystal structure of YCl2O, with properties calculated at the PBE-GGA level.

Properties
Total magnetic moment: 0.00 μB per cell

Lattice parameters (Å, degrees): 3.676 3.676 10.986 80.37 80.37 90.00
Fractional positions:
Y: 0.000 0.000 0.000
Y: 0.750 0.250 0.500
O: 0.500 0.500 0.000
O: 0.250 0.750 0.500
Cl: 0.628 0.125 0.250
Cl: 0.122 0.625 0.250
Cl: 0.375 0.372 0.750
Cl: 0.875 0.878 0.750



Model 2:
Below is an optimized crystal structure of YCl2O, with properties calculated at the PBE-GGA level.

Properties
Total magnetic moment: 2.14 μB per cell

Lattice parameters (Å, degrees): 8.514 8.514 8.514 28.16 28.16 28.16
Each line ends with the local moment (μB).
Fractional positions:
Y: 0.000 0.000 0.000  0.01
O: 0.500 0.500 0.500  1.51
Cl: 0.900 0.900 0.900  0.12
Cl: 0.100 0.100 0.100  0.12



Model 3:
Below is an optimized crystal structure of YCl2O, with properties calculated at the PBE-GGA level.

Properties
Total magnetic moment: 1.00 μB per cell

Lattice parameters (Å, degrees): 4.641 4.641 4.641 60.00 60.00 60.00
Each line ends with the local moment (μB).
Fractional positions:
Y: 0.500 0.500 0.500  -0.05
O: 0.000 0.000 0.000  0.78
Cl: 0.250 0.250 0.250  0.05
Cl: 0.750 0.750 0.750  0.05



Q: What are the energies relative to the best structure? A: model 1 25; model 2 1230; model 3 0, in meV per atom.



Model 1:
Below is an optimized crystal structure of ZnCl2O, with properties calculated at the PBE-GGA level.

Properties
Total magnetic moment: 2.00 μB per cell

Lattice parameters (Å, degrees): 4.508 4.508 4.508 60.00 60.00 60.00
Each line ends with the local moment (μB).
Fractional positions:
Zn: 0.500 0.500 0.500  -0.01
O: 0.000 0.000 0.000  1.32
Cl: 0.250 0.250 0.250  0.19
Cl: 0.750 0.750 0.750  0.19



Model 2:
Below is an optimized crystal structure of ZnCl2O, with properties calculated at the PBE-GGA level.

Properties
Total magnetic moment: 4.00 μB per cell

Lattice parameters (Å, degrees): 6.572 6.572 6.480 59.53 59.53 90.00
Each line ends with the local moment (μB).
Fractional positions:
Zn: 0.000 0.000 0.000  0.01
Zn: 0.750 0.250 0.500  0.01
O: 0.500 0.500 0.000  1.46
O: 0.250 0.750 0.500  1.46
Cl: 0.699 0.125 0.250  0.07
Cl: 0.051 0.625 0.250  0.07
Cl: 0.375 0.301 0.750  0.07
Cl: 0.875 0.949 0.750  0.07



Q: What are the energies relative to the best structure? A: model 1 431; model 2 0, in meV per atom.



Model 1:
Below is an optimized crystal structure of ZrClO2, with properties calculated at the PBE-GGA level.

Properties
Total magnetic moment: 1.00 μB per cell

Lattice parameters (Å, degrees): 8.435 8.435 8.435 22.22 22.22 22.22
Each line ends with the local moment (μB).
Fractional positions:
O: 0.873 0.873 0.873  0.01
O: 0.127 0.127 0.127  0.01
Zr: 0.500 0.500 0.500  0.00
Cl: 0.000 0.000 0.000  0.77



Model 2:
Below is an optimized crystal structure of ZrClO2, with properties calculated at the PBE-GGA level.

Properties
Total magnetic moment: 2.00 μB per cell

Lattice parameters (Å, degrees): 6.449 6.449 6.458 60.05 60.05 90.00
Each line ends with the local moment (μB).
Fractional positions:
O: 0.872 0.125 0.250  0.09
O: 0.878 0.625 0.250  0.09
O: 0.375 0.128 0.750  0.09
O: 0.875 0.122 0.750  0.09
Zr: 0.000 0.000 0.000  -0.01
Zr: 0.750 0.250 0.500  -0.01
Cl: 0.500 0.500 0.000  0.60
Cl: 0.250 0.750 0.500  0.60



Q: What are the energies relative to the best structure? A: model 1 0; model 2 32, in meV per atom.



Model 1:
Below is an optimized crystal structure of OsCl2, with properties calculated at the PBE-GGA level.

Properties
Total magnetic moment: 4.02 μB per cell

Lattice parameters (Å, degrees): 7.097 7.097 8.044 90.00 90.00 152.31
Each line ends with the local moment (μB).
Fractional positions:
Os: 0.118 0.882 0.750  1.64
Os: 0.882 0.118 0.250  1.64
Cl: 0.735 0.265 0.750  0.07
Cl: 0.502 0.498 0.750  0.07
Cl: 0.265 0.735 0.250  0.07
Cl: 0.498 0.502 0.250  0.07



Model 2:
Below is an optimized crystal structure of OsCl2, with properties calculated at the PBE-GGA level.

Properties
Total magnetic moment: 0.00 μB per cell

Lattice parameters (Å, degrees): 6.722 6.722 7.733 81.56 81.56 25.74
Fractional positions:
Os: 0.905 0.905 0.675
Os: 0.268 0.268 0.878
Cl: 0.911 0.911 0.974
Cl: 0.411 0.411 0.444
Cl: 0.666 0.666 0.739
Cl: 0.673 0.673 0.124



Model 3:
Below is an optimized crystal structure of OsCl2, with properties calculated at the PBE-GGA level.

Properties
Total magnetic moment: 0.00 μB per cell

Lattice parameters (Å, degrees): 5.185 5.185 5.185 107.63 107.63 113.23
Fractional positions:
Os: 0.750 0.750 0.000
Os: 0.250 0.250 0.000
Cl: 0.206 0.294 0.500
Cl: 0.794 0.706 0.500
Cl: 0.706 0.206 0.913
Cl: 0.294 0.794 0.087



Q: What are the energies relative to the best structure? A: model 1 137; model 2 0; model 3 427, in meV per atom.



Model 1:
Below is an optimized crystal structure of OsCl2, with properties calculated at the PBE-GGA level.

Properties
Total magnetic moment: 0.00 μB per cell

Lattice parameters (Å, degrees): 3.679 5.424 5.547 90.00 90.00 90.00
Fractional positions:
Os: 0.000 0.000 0.000
Os: 0.500 0.500 0.500
Cl: 0.000 0.257 0.649
Cl: 0.000 0.743 0.351
Cl: 0.500 0.757 0.851
Cl: 0.500 0.243 0.149



Model 2:
Below is an optimized crystal structure of OsCl2, with properties calculated at the PBE-GGA level.

Properties
Total magnetic moment: 0.00 μB per cell

Lattice parameters (Å, degrees): 4.342 4.342 2.901 90.00 90.00 90.00
Fractional positions:
Os: 0.000 0.000 0.000
Cl: 0.000 0.500 0.500
Cl: 0.500 0.000 0.500



Model 3:
Below is an optimized crystal structure of OsCl2, with properties calculated at the PBE-GGA level.

Properties
Total magnetic moment: 0.00 μB per cell

Lattice parameters (Å, degrees): 8.078 7.700 3.214 84.95 71.71 23.34
Fractional positions:
Os: 0.500 0.500 0.500
Cl: 0.877 0.877 0.123
Cl: 0.123 0.123 0.877



Q: What are the energies relative to the best structure? A: model 1 0; model 2 563; model 3 97, in meV per atom.



Model 1:
Below is an optimized crystal structure of OsCl2, with properties calculated at the PBE-GGA level.

Properties
Total magnetic moment: 0.00 μB per cell

Lattice parameters (Å, degrees): 6.904 6.873 6.873 149.93 155.80 38.91
Fractional positions:
Os: 0.000 0.000 0.000
Cl: 0.110 0.617 0.494
Cl: 0.890 0.383 0.506



Model 2:
Below is an optimized crystal structure of OsCl2, with properties calculated at the PBE-GGA level.

Properties
Total magnetic moment: 4.06 μB per cell

Lattice parameters (Å, degrees): 4.870 4.870 2.930 90.00 90.00 120.00
Each line ends with the local moment (μB).
Fractional positions:
Os: 0.000 0.000 0.000  3.11
Cl: 0.333 0.667 0.500  0.28
Cl: 0.667 0.333 0.500  0.28



Q: What are the energies relative to the best structure? A: model 1 0; model 2 1612, in meV per atom.



Model 1:
Below is an optimized crystal structure of Os4Cl, with properties calculated at the PBE-GGA level.

Properties
Total magnetic moment: 0.00 μB per cell

Lattice parameters (Å, degrees): 4.296 4.296 4.296 90.00 90.00 90.00
Fractional positions:
Os: 0.000 0.000 0.000
Os: 0.500 0.000 0.500
Os: 0.000 0.500 0.500
Os: 0.500 0.500 0.000
Cl: 0.500 0.500 0.500



Model 2:
Below is an optimized crystal structure of Os4Cl, with properties calculated at the PBE-GGA level.

Properties
Total magnetic moment: 0.00 μB per cell

Lattice parameters (Å, degrees): 5.985 5.985 5.985 138.69 138.69 59.84
Fractional positions:
Os: 0.750 0.250 0.500
Os: 0.250 0.750 0.500
Os: 0.621 0.621 0.000
Os: 0.379 0.379 0.000
Cl: 0.000 0.000 0.000



Model 3:
Below is an optimized crystal structure of Os4Cl, with properties calculated at the PBE-GGA level.

Properties
Total magnetic moment: 0.00 μB per cell

Lattice parameters (Å, degrees): 4.716 4.716 4.716 109.47 109.47 109.47
Fractional positions:
Os: 0.500 0.000 0.000
Os: 0.500 0.500 0.500
Os: 0.000 0.500 0.000
Os: 0.000 0.000 0.500
Cl: 0.000 0.000 0.000



Q: What are the energies relative to the best structure? A: model 1 1026; model 2 0; model 3 943, in meV per atom.



Model 1:
Below is an optimized crystal structure of Os2Cl, with properties calculated at the PBE-GGA level.

Properties
Total magnetic moment: 0.00 μB per cell

Lattice parameters (Å, degrees): 4.028 4.028 4.028 60.00 60.00 60.00
Fractional positions:
Cl: 0.000 0.000 0.000
Os: 0.250 0.250 0.250
Os: 0.750 0.750 0.750



Model 2:
Below is an optimized crystal structure of Os2Cl, with properties calculated at the PBE-GGA level.

Properties
Total magnetic moment: 0.00 μB per cell

Lattice parameters (Å, degrees): 5.136 5.136 9.662 65.39 65.39 32.06
Fractional positions:
Os: 0.888 0.888 0.126
Os: 0.368 0.368 0.907
Os: 0.112 0.112 0.874
Os: 0.632 0.632 0.093
Cl: 0.060 0.060 0.655
Cl: 0.940 0.940 0.345



Model 3:
Below is an optimized crystal structure of Os2Cl, with properties calculated at the PBE-GGA level.

Properties
Total magnetic moment: 0.00 μB per cell

Lattice parameters (Å, degrees): 6.257 6.257 6.257 153.48 153.31 37.98
Fractional positions:
Os: 0.184 0.184 0.000
Os: 0.816 0.816 0.000
Cl: 0.000 0.500 0.500



Q: What are the energies relative to the best structure? A: model 1 1578; model 2 0; model 3 85, in meV per atom.



Model 1:
Below is an optimized crystal structure of Os2Cl, with properties calculated at the PBE-GGA level.

Properties
Total magnetic moment: 0.00 μB per cell

Lattice parameters (Å, degrees): 9.201 9.201 4.186 90.00 90.00 162.05
Fractional positions:
Os: 0.088 0.912 0.750
Os: 0.463 0.537 0.750
Os: 0.537 0.463 0.250
Os: 0.912 0.088 0.250
Cl: 0.828 0.172 0.750
Cl: 0.172 0.828 0.250



Model 2:
Below is an optimized crystal structure of Os2Cl, with properties calculated at the PBE-GGA level.

Properties
Total magnetic moment: 0.00 μB per cell

Lattice parameters (Å, degrees): 3.926 3.926 7.618 90.00 90.00 120.00
Fractional positions:
Os: 0.333 0.667 0.430
Os: 0.667 0.333 0.930
Os: 0.667 0.333 0.570
Os: 0.333 0.667 0.070
Cl: 0.000 0.000 0.250
Cl: 0.000 0.000 0.750



Model 3:
Below is an optimized crystal structure of Os2Cl, with properties calculated at the PBE-GGA level.

Properties
Total magnetic moment: 0.00 μB per cell

Lattice parameters (Å, degrees): 8.970 8.970 8.970 162.28 152.52 32.89
Fractional positions:
Os: 0.284 0.034 0.250
Os: 0.716 0.966 0.750
Os: 0.429 0.179 0.250
Os: 0.571 0.821 0.750
Cl: 0.918 0.668 0.250
Cl: 0.082 0.332 0.750



Q: What are the energies relative to the best structure? A: model 1 0; model 2 397; model 3 629, in meV per atom.